Tb2PrY3: relaxed, GGA-PBE.

a b c (Å): 8.795 6.227 8.024
angles (deg): 104.96 111.37 90.09
Atoms (fractional coordinates):
Tb  0.874  0.625  0.623
Tb  0.377  0.125  0.125
Tb  0.623  0.875  0.875
Tb  0.126  0.375  0.377
Pr  0.042  0.793  0.126
Pr  0.958  0.207  0.874
Y  0.540  0.292  0.624
Y  0.460  0.708  0.376
Y  0.210  0.957  0.626
Y  0.707  0.458  0.126
Y  0.293  0.542  0.874
Y  0.790  0.043  0.374

Calculated values
- crystal system = triclinic
- ΔE to the lowest computed polymorph (meV/atom) = 0.0
- DOS(E_F) (states/eV/f.u.) = 8.70



CoOs2Se: relaxed, GGA-PBE.

a b c (Å): 4.321 4.321 2.937
angles (deg): 90.00 90.00 90.02
Atoms (fractional coordinates):
Co  0.000  0.500  0.500
Os  0.000  0.000  0.000
Os  0.500  0.500  0.000
Se  0.500  0.000  0.500

Calculated values
- crystal system = tetragonal
- formation energy without anion corrections (eV per atom) = 0.70
- DOS(E_F) (states/eV/f.u.) = 4.55